A geometry-optimized SmSi2IrRh2 structure, computed with PBE.

Computed properties:
VASP energy (Ry per atom): -0.5062
DOS at the Fermi energy (states/eV per cell): 3.72
E_form (uncorrected) (meV/atom): -365

Cell: 4.493 4.493 5.598 Å, 90.00 90.00 90.00°
Element x y z (fractional)
1 Sm 0.000 0.000 0.000
2 Si 0.000 0.500 0.500
3 Si 0.500 0.000 0.500
4 Ir 0.000 0.000 0.500
5 Rh 0.500 0.500 0.252
6 Rh 0.500 0.500 0.748